1.
{"formula": "Li2ZnOs", "functional": "PBE", "state": "relaxed", "ef_ev_per_atom": 0.0818, "lattice": [[9.457, 0.009, 0.005], [9.072, 2.673, 0.005], [9.072, 1.313, 2.328]], "species": ["Li", "Li", "Os", "Zn"], "fractional_positions": [[0.005, 0.005, 0.005], [0.246, 0.246, 0.246], [0.500, 0.500, 0.500], [0.750, 0.750, 0.750]]}

---

2.
{"formula": "LiZnOs2", "functional": "PBE", "state": "relaxed", "ef_ev_per_atom": 0.2177, "lattice": [[-0.281, 3.193, -4.107], [-3.272, -1.133, -3.892], [0.702, 1.138, 5.035]], "species": ["Os", "Os", "Zn", "Li"], "fractional_positions": [[0.992, 0.992, 0.000], [0.508, 0.508, 0.000], [0.750, 0.250, 0.500], [0.250, 0.750, 0.500]]}

---

3.
{"formula": "LiZn2Os", "functional": "PBE", "state": "relaxed", "ef_ev_per_atom": 0.0287, "lattice": [[-1.486, -1.592, 1.417], [3.136, -2.440, 0.548], [1.338, 2.721, 4.460]], "species": ["Li", "Os", "Zn", "Zn"], "fractional_positions": [[0.500, 0.500, 0.250], [0.500, 0.500, 0.750], [0.000, 0.000, 0.993], [0.000, 0.000, 0.507]]}

---

4.
{"formula": "LiZnOs2", "functional": "PBE", "state": "relaxed", "ef_ev_per_atom": 0.2138, "lattice": [[-2.194, 6.800, 5.549], [-0.595, 5.414, 7.224], [0.477, 7.179, 5.486]], "species": ["Zn", "Li", "Os", "Os"], "fractional_positions": [[0.750, 0.750, 0.750], [0.250, 0.250, 0.250], [0.002, 0.002, 0.002], [0.498, 0.498, 0.498]]}

---

5.
{"formula": "LiZnOs", "functional": "PBE", "state": "relaxed", "ef_ev_per_atom": 0.0130, "polymorph_energy_mev_per_atom": 0, "lattice": [[-1.693, -0.424, 4.071], [4.726, -0.002, -0.402], [-0.768, 4.699, -1.596]], "species": ["Zn", "Li", "Os", "Li", "Os", "Zn"], "fractional_positions": [[0.644, 0.824, 0.392], [0.226, 0.302, 0.891], [0.323, 0.191, 0.389], [0.545, 0.987, 0.878], [0.964, 0.459, 0.404], [0.909, 0.645, 0.919]]}

---

6.
{"formula": "Li2ZnOs", "functional": "PBE", "state": "relaxed", "ef_ev_per_atom": 0.0682, "lattice": [[-0.118, 4.332, 1.424], [-2.585, -0.121, 0.154], [0.065, -1.465, 4.462]], "species": ["Zn", "Li", "Os", "Li"], "fractional_positions": [[0.500, 0.750, 0.750], [0.000, 0.539, 0.478], [0.500, 0.250, 0.250], [0.000, 0.961, 0.022]]}